(1)
This record from Alexandria describes a relaxed ZrCd2 crystal. The functional is GGA-PBEsol.

Values from the calculation:
- Total DFT energy (no corrections): -3.60 eV/atom
- Magnetic moment: 0.00 μB/cell

```
data_ZrCd2
_symmetry_space_group_name_H-M 'I 4/m c m'
_symmetry_Int_Tables_number 140
_symmetry_space_group_name_Hall '-I 4 2c'
_cell_length_a 7.228
_cell_length_b 7.228
_cell_length_c 5.233
_cell_angle_alpha 90.00
_cell_angle_beta 90.00
_cell_angle_gamma 90.00
loop_
_atom_site_label
_atom_site_fract_x
_atom_site_fract_y
_atom_site_fract_z
Zr1 0.000 0.000 0.250
Cd1 0.146 0.354 0.000
```

***

(2)
This record from Alexandria describes a relaxed ZrCd3 crystal. The functional is GGA-PBEsol.

Values from the calculation:
- Total DFT energy (no corrections): -3.19 eV/atom
- Magnetic moment: 0.00 μB/cell

```
data_ZrCd3
_symmetry_space_group_name_H-M 'R -3 m'
_symmetry_Int_Tables_number 166
_symmetry_space_group_name_Hall '-R 3 2"'
_cell_length_a 3.0534
_cell_length_b 3.0534
_cell_length_c 30.6632
_cell_angle_alpha 90.00
_cell_angle_beta 90.00
_cell_angle_gamma 120.00
loop_
_atom_site_label
_atom_site_fract_x
_atom_site_fract_y
_atom_site_fract_z
Zr1 0.0000 0.0000 0.0000
Cd1 0.0000 0.0000 0.2492
Cd2 0.0000 0.0000 0.5000
```

***

(3)
This record from Alexandria describes a relaxed ZrCd crystal. The functional is GGA-PBEsol.

Values from the calculation:
- Total DFT energy (no corrections): -5.21 eV/atom
- Magnetic moment: 0.00 μB/cell

```
data_ZrCd
_symmetry_space_group_name_H-M 'P n m a'
_symmetry_Int_Tables_number 62
_cell_length_a 5.666
_cell_length_b 4.928
_cell_length_c 5.966
_cell_angle_alpha 90.00
_cell_angle_beta 90.00
_cell_angle_gamma 90.00
loop_
_symmetry_equiv_pos_as_xyz
'x,y,z'
'-x,-y,-z'
'-x+1/2,-y,z+1/2'
'x+1/2,y,-z+1/2'
'x+1/2,-y+1/2,-z+1/2'
'-x+1/2,y+1/2,z+1/2'
'-x,y+1/2,-z'
'x,-y+1/2,z'
loop_
_atom_site_label
_atom_site_fract_x
_atom_site_fract_y
_atom_site_fract_z
Zr1 0.129 0.250 0.131
Cd1 0.091 0.250 0.630
```

***

(4)
This record from Alexandria describes a relaxed ZrCd3 crystal. The functional is GGA-PBEsol.

Values from the calculation:
- Total DFT energy (no corrections): -3.29 eV/atom
- Magnetic moment: 0.00 μB/cell

```
data_ZrCd3
_symmetry_space_group_name_H-M 'P 4/m m m'
_symmetry_Int_Tables_number 123
_symmetry_space_group_name_Hall '-P 4 2'
_cell_length_a 3.113
_cell_length_b 3.113
_cell_length_c 8.373
_cell_angle_alpha 90.00
_cell_angle_beta 90.00
_cell_angle_gamma 90.00
loop_
_atom_site_label
_atom_site_fract_x
_atom_site_fract_y
_atom_site_fract_z
Zr1 0.000 0.000 0.000
Cd1 0.000 0.000 0.500
Cd2 0.500 0.500 0.255
```

***

(5)
This record from Alexandria describes a relaxed Zr3Cd crystal. The functional is GGA-PBEsol.

Values from the calculation:
- Total DFT energy (no corrections): -7.14 eV/atom
- Magnetic moment: 0.00 μB/cell

```
data_Zr3Cd
_symmetry_space_group_name_H-M 'C m c m'
_symmetry_Int_Tables_number 63
_symmetry_space_group_name_Hall '-C 2c 2'
_cell_length_a 6.845
_cell_length_b 10.111
_cell_length_c 4.939
_cell_angle_alpha 90.00
_cell_angle_beta 90.00
_cell_angle_gamma 90.00
loop_
_atom_site_label
_atom_site_fract_x
_atom_site_fract_y
_atom_site_fract_z
Zr1 0.000 0.101 0.250
Zr2 0.244 0.142 0.750
Cd1 0.000 0.393 0.750
```

***

(6)
This record from Alexandria describes a relaxed ZrCd2 crystal. The functional is GGA-PBEsol.

Values from the calculation:
- Total DFT energy (no corrections): -3.98 eV/atom
- Magnetic moment: 0.00 μB/cell

```
data_ZrCd2
_symmetry_space_group_name_H-M 'I 4/m m m'
_symmetry_Int_Tables_number 139
_symmetry_space_group_name_Hall '-I 4 2'
_cell_length_a 3.091
_cell_length_b 3.091
_cell_length_c 12.754
_cell_angle_alpha 90.00
_cell_angle_beta 90.00
_cell_angle_gamma 90.00
loop_
_atom_site_label
_atom_site_fract_x
_atom_site_fract_y
_atom_site_fract_z
Zr1 0.000 0.000 0.000
Cd1 0.000 0.000 0.331
```

***

(7)
This record from Alexandria describes a relaxed Zr3Cd crystal. The functional is GGA-PBEsol.

Values from the calculation:
- Total DFT energy (no corrections): -7.18 eV/atom
- Magnetic moment: 0.00 μB/cell

```
data_Zr3Cd
_symmetry_space_group_name_H-M 'P 63/m m c'
_symmetry_Int_Tables_number 194
_symmetry_space_group_name_Hall '-P 6c 2c'
_cell_length_a 6.1927
_cell_length_b 6.1927
_cell_length_c 5.1128
_cell_angle_alpha 90.00
_cell_angle_beta 90.00
_cell_angle_gamma 120.00
loop_
_atom_site_label
_atom_site_fract_x
_atom_site_fract_y
_atom_site_fract_z
Zr1 0.1687 0.3373 0.2500
Cd1 0.3333 0.6667 0.7500
```

***

(8)
This record from Alexandria describes a relaxed ZrCd3 crystal. The functional is GGA-PBEsol.

Values from the calculation:
- Total DFT energy (no corrections): -3.22 eV/atom
- Magnetic moment: 0.00 μB/cell

```
data_ZrCd3
_symmetry_space_group_name_H-M 'C m m m'
_symmetry_Int_Tables_number 65
_symmetry_space_group_name_Hall '-C 2 2'
_cell_length_a 6.209
_cell_length_b 9.255
_cell_length_c 2.882
_cell_angle_alpha 90.00
_cell_angle_beta 90.00
_cell_angle_gamma 90.00
loop_
_atom_site_label
_atom_site_fract_x
_atom_site_fract_y
_atom_site_fract_z
Zr1 0.000 0.000 0.000
Cd1 0.000 0.500 0.000
Cd2 0.250 0.250 0.500
```

***

(9)
This record from Alexandria describes a relaxed ZrCd3 crystal. The functional is GGA-PBEsol.

Values from the calculation:
- Total DFT energy (no corrections): -3.23 eV/atom
- Magnetic moment: 0.00 μB/cell

```
data_ZrCd3
_symmetry_space_group_name_H-M 'I m m 2'
_symmetry_Int_Tables_number 44
_cell_length_a 2.861
_cell_length_b 10.267
_cell_length_c 5.617
_cell_angle_alpha 90.00
_cell_angle_beta 90.00
_cell_angle_gamma 90.00
loop_
_symmetry_equiv_pos_as_xyz
'x,y,z'
'-x,-y,z'
'-x,y,z'
'x,-y,z'
'x+1/2,y+1/2,z+1/2'
'-x+1/2,-y+1/2,z+1/2'
'-x+1/2,y+1/2,z+1/2'
'x+1/2,-y+1/2,z+1/2'
loop_
_atom_site_label
_atom_site_fract_x
_atom_site_fract_y
_atom_site_fract_z
Zr1 0.000 0.000 0.000
Cd1 0.000 0.252 0.313
Cd2 0.000 0.500 0.000
```

***

(10)
This record from Alexandria describes a relaxed ZrCd2 crystal. The functional is GGA-PBEsol.

Values from the calculation:
- Total DFT energy (no corrections): -3.90 eV/atom
- Magnetic moment: 0.00 μB/cell

```
data_ZrCd2
_symmetry_space_group_name_H-M 'C 1 2/m 1'
_symmetry_Int_Tables_number 12
_cell_length_a 11.240
_cell_length_b 2.998
_cell_length_c 7.719
_cell_angle_alpha 90.00
_cell_angle_beta 107.97
_cell_angle_gamma 90.00
loop_
_symmetry_equiv_pos_as_xyz
'x,y,z'
'-x,-y,-z'
'-x,y,-z'
'x,-y,z'
'x+1/2,y+1/2,z'
'-x+1/2,-y+1/2,-z'
'-x+1/2,y+1/2,-z'
'x+1/2,-y+1/2,z'
loop_
_atom_site_label
_atom_site_fract_x
_atom_site_fract_y
_atom_site_fract_z
Zr1 0.176 0.000 0.105
Cd1 0.026 0.500 0.768
Cd2 0.151 0.000 0.540
```

***

(11)
This record from Alexandria describes a relaxed Zr3Cd crystal. The functional is GGA-PBEsol.

Values from the calculation:
- Total DFT energy (no corrections): -7.17 eV/atom
- Magnetic moment: 0.00 μB/cell

```
data_Zr3Cd
_symmetry_space_group_name_H-M 'I m m 2'
_symmetry_Int_Tables_number 44
_cell_length_a 3.101
_cell_length_b 10.169
_cell_length_c 5.419
_cell_angle_alpha 90.00
_cell_angle_beta 90.00
_cell_angle_gamma 90.00
loop_
_symmetry_equiv_pos_as_xyz
'x,y,z'
'-x,-y,z'
'-x,y,z'
'x,-y,z'
'x+1/2,y+1/2,z+1/2'
'-x+1/2,-y+1/2,z+1/2'
'-x+1/2,y+1/2,z+1/2'
'x+1/2,-y+1/2,z+1/2'
loop_
_atom_site_label
_atom_site_fract_x
_atom_site_fract_y
_atom_site_fract_z
Zr1 0.000 0.000 0.000
Zr2 0.000 0.241 0.358
Cd1 0.000 0.500 0.025
```

***

(12)
This record from Alexandria describes a relaxed ZrCd crystal. The functional is GGA-PBEsol.

Values from the calculation:
- Total DFT energy (no corrections): -5.22 eV/atom
- Magnetic moment: 0.00 μB/cell

```
data_ZrCd
_symmetry_space_group_name_H-M 'C m c m'
_symmetry_Int_Tables_number 63
_symmetry_space_group_name_Hall '-C 2c 2'
_cell_length_a 3.143
_cell_length_b 11.972
_cell_length_c 4.484
_cell_angle_alpha 90.00
_cell_angle_beta 90.00
_cell_angle_gamma 90.00
loop_
_atom_site_label
_atom_site_fract_x
_atom_site_fract_y
_atom_site_fract_z
Zr1 0.000 0.181 0.250
Cd1 0.000 0.433 0.250
```

***

Please write out number 6 again, unchanged.
This record from Alexandria describes a relaxed ZrCd2 crystal. The functional is GGA-PBEsol.

Values from the calculation:
- Total DFT energy (no corrections): -3.98 eV/atom
- Magnetic moment: 0.00 μB/cell

```
data_ZrCd2
_symmetry_space_group_name_H-M 'I 4/m m m'
_symmetry_Int_Tables_number 139
_symmetry_space_group_name_Hall '-I 4 2'
_cell_length_a 3.091
_cell_length_b 3.091
_cell_length_c 12.754
_cell_angle_alpha 90.00
_cell_angle_beta 90.00
_cell_angle_gamma 90.00
loop_
_atom_site_label
_atom_site_fract_x
_atom_site_fract_y
_atom_site_fract_z
Zr1 0.000 0.000 0.000
Cd1 0.000 0.000 0.331
```

***

Look up the magnetic moment of the eleventh one. 0.00 μB/cell

***

total DFT energy (no corrections) of number 12 (ZrCd)? -5.22 eV/atom